[1]
Below is Rb2TiCdN after structural relaxation, with properties calculated at the PBE level.

formation energy from raw total energies	1.01	eV per atom
SG	P4/mmm (123)
DOS(E_F)	1.4669	states/eV/atom

Lattice parameters (Å, degrees): 6.581 6.581 4.045 90.00 90.00 90.00
Atoms (fractional coordinates):
Rb 0.000 0.500 0.000
Rb 0.500 0.000 0.000
Ti 0.000 0.000 0.500
Cd 0.500 0.500 0.500
N 0.500 0.500 0.000

=====

[2]
Below is CdRe2N after structural relaxation, with properties calculated at the PBE level.

formation energy from raw total energies	1.04	eV per atom
excess energy over the best structure of this formula in the dataset	0	meV/atom
SG	I-42d (122)
DOS(E_F)	0.9140	states/eV/atom

Lattice parameters (Å, degrees): 6.696 6.696 6.696 135.35 135.35 64.99
Atoms (fractional coordinates):
Cd 0.000 0.000 0.000
Cd 0.750 0.250 0.500
Re 0.290 0.625 0.165
Re 0.375 0.540 0.665
Re 0.460 0.125 0.835
Re 0.875 0.710 0.335
N 0.250 0.750 0.500
N 0.500 0.500 0.000

=====

[3]
Below is Cd3ReN after structural relaxation, with properties calculated at the PBE level.

formation energy from raw total energies	2.23	eV per atom
excess energy over the best structure of this formula in the dataset	971	meV/atom
SG	Pm-3m (221)
DOS(E_F)	1.4825	states/eV/atom

Lattice parameters (Å, degrees): 5.304 5.304 5.304 90.00 90.00 90.00
Atoms (fractional coordinates):
Cd 0.000 0.000 0.500
Cd 0.000 0.500 0.000
Cd 0.500 0.000 0.000
Re 0.000 0.000 0.000
N 0.500 0.500 0.500

=====

[4]
Below is Cd2ReN after structural relaxation, with properties calculated at the PBE level.

formation energy from raw total energies	0.73	eV per atom
SG	I-42d (122)
DOS(E_F)	0.8012	states/eV/atom

Lattice parameters (Å, degrees): 6.604 6.604 6.604 94.85 94.85 146.19
Atoms (fractional coordinates):
Cd 0.002 0.625 0.877
Cd 0.375 0.252 0.377
Cd 0.748 0.125 0.123
Cd 0.875 0.998 0.623
Re 0.250 0.750 0.500
Re 0.500 0.500 0.000
N 0.000 0.000 0.000
N 0.750 0.250 0.500

=====

[5]
Below is CdReN after structural relaxation, with properties calculated at the PBE level.

formation energy from raw total energies	0.12	eV per atom
SG	R-3m (166)
DOS(E_F)	0.2551	states/eV/atom

Lattice parameters (Å, degrees): 12.755 12.755 12.755 12.90 12.90 12.90
Atoms (fractional coordinates):
Cd 0.126 0.126 0.126
Cd 0.874 0.874 0.874
Re 0.363 0.363 0.363
Re 0.637 0.637 0.637
N 0.272 0.272 0.272
N 0.728 0.728 0.728

=====

[6]
Below is CdRe2N after structural relaxation, with properties calculated at the PBE level.

formation energy from raw total energies	1.94	eV per atom
excess energy over the best structure of this formula in the dataset	901	meV/atom
SG	Fm-3m (225)
DOS(E_F)	1.4743	states/eV/atom

Lattice parameters (Å, degrees): 4.313 4.313 4.313 60.00 60.00 60.00
Atoms (fractional coordinates):
Cd 0.000 0.000 0.000
Re 0.250 0.250 0.250
Re 0.750 0.750 0.750
N 0.500 0.500 0.500

=====

[7]
Below is CdRe3N after structural relaxation, with properties calculated at the PBE level.

formation energy from raw total energies	0.56	eV per atom
SG	Pm-3m (221)
DOS(E_F)	0.8583	states/eV/atom

Lattice parameters (Å, degrees): 4.135 4.135 4.135 90.00 90.00 90.00
Atoms (fractional coordinates):
Cd 0.000 0.000 0.000
Re 0.000 0.500 0.500
Re 0.500 0.000 0.500
Re 0.500 0.500 0.000
N 0.500 0.500 0.500

=====

[8]
Below is Cd3ReN after structural relaxation, with properties calculated at the PBE level.

formation energy from raw total energies	1.26	eV per atom
excess energy over the best structure of this formula in the dataset	0	meV/atom
SG	Pm-3m (221)
DOS(E_F)	0.8038	states/eV/atom

Lattice parameters (Å, degrees): 4.526 4.526 4.526 90.00 90.00 90.00
Atoms (fractional coordinates):
Cd 0.000 0.000 0.500
Cd 0.000 0.500 0.000
Cd 0.500 0.000 0.000
Re 0.500 0.500 0.500
N 0.000 0.000 0.000

=====

[9]
Below is CdReSN2 after structural relaxation, with properties calculated at the PBE level.

formation energy from raw total energies	0.31	eV per atom
SG	P4/mmm (123)
DOS(E_F)	0.4996	states/eV/atom

Lattice parameters (Å, degrees): 3.845 3.845 5.323 90.00 90.00 90.00
Atoms (fractional coordinates):
Cd 0.000 0.000 0.000
Re 0.500 0.500 0.500
S 0.500 0.500 0.000
N 0.000 0.500 0.500
N 0.500 0.000 0.500

=====

[10]
Below is Sr2CdReN after structural relaxation, with properties calculated at the PBE level.

formation energy from raw total energies	-0.21	eV per atom
SG	P4/mmm (123)
DOS(E_F)	0.7847	states/eV/atom

Lattice parameters (Å, degrees): 5.530 5.530 3.884 90.00 90.00 90.00
Atoms (fractional coordinates):
Sr 0.000 0.500 0.000
Sr 0.500 0.000 0.000
Cd 0.000 0.000 0.500
Re 0.500 0.500 0.500
N 0.500 0.500 0.000

=====

[11]
Below is SrCd2ReN4 after structural relaxation, with properties calculated at the PBE level.

formation energy from raw total energies	-0.13	eV per atom
SG	Pmn2_1 (31)
DOS(E_F)	0.4035	states/eV/atom

Lattice parameters (Å, degrees): 7.572 6.217 5.932 90.00 90.00 90.00
Atoms (fractional coordinates):
Sr 0.000 0.159 0.000
Sr 0.500 0.841 0.500
Cd 0.248 0.333 0.508
Cd 0.252 0.667 0.008
Cd 0.748 0.667 0.008
Cd 0.752 0.333 0.508
Re 0.000 0.818 0.511
Re 0.500 0.182 0.011
N 0.000 0.110 0.438
N 0.000 0.789 0.821
N 0.200 0.686 0.395
N 0.300 0.314 0.895
N 0.500 0.211 0.321
N 0.500 0.890 0.938
N 0.700 0.314 0.895
N 0.800 0.686 0.395

=====

[12]
Below is CdRh3N after structural relaxation, with properties calculated at the PBE level.

formation energy from raw total energies	0.19	eV per atom
SG	P2_1/c (14)
DOS(E_F)	0.5589	states/eV/atom

Lattice parameters (Å, degrees): 5.664 5.050 10.273 90.00 94.60 90.00
Atoms (fractional coordinates):
Cd 0.067 0.181 0.186
Cd 0.067 0.319 0.686
Cd 0.933 0.681 0.314
Cd 0.933 0.819 0.814
Rh 0.173 0.676 0.069
Rh 0.173 0.824 0.569
Rh 0.303 0.169 0.943
Rh 0.303 0.331 0.443
Rh 0.461 0.611 0.795
Rh 0.461 0.889 0.295
Rh 0.539 0.111 0.705
Rh 0.539 0.389 0.205
Rh 0.697 0.669 0.557
Rh 0.697 0.831 0.057
Rh 0.827 0.176 0.431
Rh 0.827 0.324 0.931
N 0.388 0.712 0.447
N 0.388 0.788 0.947
N 0.612 0.212 0.053
N 0.612 0.288 0.553

=====

[13]
Below is CdRh3N after structural relaxation, with properties calculated at the PBE level.

formation energy from raw total energies	0.42	eV per atom
SG	R-3c (167)
DOS(E_F)	0.7361	states/eV/atom

Lattice parameters (Å, degrees): 5.414 5.414 5.414 82.27 82.27 82.27
Atoms (fractional coordinates):
Cd 0.000 0.000 0.000
Cd 0.500 0.500 0.500
Rh 0.010 0.750 0.490
Rh 0.250 0.510 0.990
Rh 0.490 0.010 0.750
Rh 0.510 0.990 0.250
Rh 0.750 0.490 0.010
Rh 0.990 0.250 0.510
N 0.250 0.250 0.250
N 0.750 0.750 0.750

=====

[14]
Below is CdRh3N after structural relaxation, with properties calculated at the PBE level.

formation energy from raw total energies	0.60	eV per atom
SG	P6_3/mmc (194)
DOS(E_F)	0.5223	states/eV/atom

Lattice parameters (Å, degrees): 4.539 4.539 7.942 90.00 90.00 120.00
Atoms (fractional coordinates):
Cd 0.333 0.667 0.250
Cd 0.667 0.333 0.750
Rh 0.000 0.000 0.250
Rh 0.000 0.000 0.750
Rh 0.333 0.667 0.579
Rh 0.333 0.667 0.921
Rh 0.667 0.333 0.079
Rh 0.667 0.333 0.421
N 0.000 0.000 0.000
N 0.000 0.000 0.500

=====

[15]
Below is CdRh2N after structural relaxation, with properties calculated at the PBE level.

formation energy from raw total energies	0.27	eV per atom
excess energy over the best structure of this formula in the dataset	146	meV/atom
SG	R-3m (166)
DOS(E_F)	0.2219	states/eV/atom

Lattice parameters (Å, degrees): 7.162 7.162 7.162 24.60 24.60 24.60
Atoms (fractional coordinates):
Cd 0.000 0.000 0.000
Rh 0.223 0.223 0.223
Rh 0.777 0.777 0.777
N 0.500 0.500 0.500

=====

[16]
Below is CdRh3N after structural relaxation, with properties calculated at the PBE level.

formation energy from raw total energies	0.12	eV per atom
SG	C2/m (12)
DOS(E_F)	0.6088	states/eV/atom

Lattice parameters (Å, degrees): 9.427 9.427 4.009 102.22 102.22 24.29
Atoms (fractional coordinates):
Cd 0.064 0.064 0.313
Cd 0.936 0.936 0.687
Rh 0.191 0.191 0.940
Rh 0.320 0.320 0.571
Rh 0.443 0.443 0.193
Rh 0.557 0.557 0.807
Rh 0.680 0.680 0.429
Rh 0.809 0.809 0.060
N 0.335 0.335 0.086
N 0.665 0.665 0.914

=====

[17]
Below is CdRh3N after structural relaxation, with properties calculated at the PBE level.

formation energy from raw total energies	0.60	eV per atom
SG	Amm2 (38)
DOS(E_F)	0.8941	states/eV/atom

Lattice parameters (Å, degrees): 2.817 7.499 7.499 41.93 90.00 90.00
Atoms (fractional coordinates):
Cd 0.000 0.000 0.000
Rh 0.000 0.414 0.941
Rh 0.000 0.941 0.414
Rh 0.500 0.829 0.829
N 0.500 0.694 0.694

=====

[18]
Below is CdRh3N after structural relaxation, with properties calculated at the PBE level.

formation energy from raw total energies	0.57	eV per atom
SG	R3m (160)
DOS(E_F)	0.6329	states/eV/atom

Lattice parameters (Å, degrees): 4.636 4.636 4.636 105.62 105.62 105.62
Atoms (fractional coordinates):
Cd 0.000 0.000 0.000
Rh 0.302 0.302 0.676
Rh 0.302 0.676 0.302
Rh 0.676 0.302 0.302
N 0.608 0.608 0.608

=====

[19]
Below is CdRh2N after structural relaxation, with properties calculated at the PBE level.

formation energy from raw total energies	1.24	eV per atom
excess energy over the best structure of this formula in the dataset	1117	meV/atom
SG	Fm-3m (225)
DOS(E_F)	1.2938	states/eV/atom

Lattice parameters (Å, degrees): 4.331 4.331 4.331 60.00 60.00 60.00
Atoms (fractional coordinates):
Cd 0.000 0.000 0.000
Rh 0.250 0.250 0.250
Rh 0.750 0.750 0.750
N 0.500 0.500 0.500

=====

[20]
Below is CdRh3N after structural relaxation, with properties calculated at the PBE level.

formation energy from raw total energies	0.24	eV per atom
SG	P2_1/m (11)
DOS(E_F)	0.8251	states/eV/atom

Lattice parameters (Å, degrees): 5.032 5.565 5.488 90.00 99.27 90.00
Atoms (fractional coordinates):
Cd 0.201 0.250 0.244
Cd 0.799 0.750 0.756
Rh 0.204 0.750 0.225
Rh 0.309 0.007 0.790
Rh 0.309 0.493 0.790
Rh 0.691 0.507 0.210
Rh 0.691 0.993 0.210
Rh 0.796 0.250 0.775
N 0.242 0.750 0.565
N 0.758 0.250 0.435

=====

[21]
Below is CdRh3N after structural relaxation, with properties calculated at the PBE level.

formation energy from raw total energies	0.11	eV per atom
SG	Cmcm (63)
DOS(E_F)	1.0856	states/eV/atom

Lattice parameters (Å, degrees): 5.215 5.215 5.721 90.00 90.00 114.66
Atoms (fractional coordinates):
Cd 0.013 0.987 0.750
Cd 0.987 0.013 0.250
Rh 0.000 0.500 0.000
Rh 0.000 0.500 0.500
Rh 0.482 0.518 0.750
Rh 0.500 0.000 0.000
Rh 0.500 0.000 0.500
Rh 0.518 0.482 0.250
N 0.301 0.699 0.250
N 0.699 0.301 0.750

=====

[22]
Below is CdRh3N after structural relaxation, with properties calculated at the PBE level.

formation energy from raw total energies	0.42	eV per atom
SG	P6_3/mmc (194)
DOS(E_F)	0.8829	states/eV/atom

Lattice parameters (Å, degrees): 3.439 3.439 15.691 90.00 90.00 120.00
Atoms (fractional coordinates):
Cd 0.000 0.000 0.000
Cd 0.000 0.000 0.500
Rh 0.000 0.000 0.250
Rh 0.000 0.000 0.750
Rh 0.333 0.667 0.124
Rh 0.333 0.667 0.376
Rh 0.667 0.333 0.624
Rh 0.667 0.333 0.876
N 0.333 0.667 0.250
N 0.667 0.333 0.750

=====

[23]
Below is CdRh3N after structural relaxation, with properties calculated at the PBE level.

formation energy from raw total energies	0.30	eV per atom
SG	Pnma (62)
DOS(E_F)	0.6215	states/eV/atom

Lattice parameters (Å, degrees): 5.049 7.949 7.518 90.00 90.00 90.00
Atoms (fractional coordinates):
Cd 0.000 0.000 0.000
Cd 0.000 0.500 0.000
Cd 0.500 0.000 0.500
Cd 0.500 0.500 0.500
Rh 0.001 0.084 0.351
Rh 0.001 0.416 0.351
Rh 0.213 0.750 0.289
Rh 0.287 0.250 0.789
Rh 0.499 0.584 0.851
Rh 0.499 0.916 0.851
Rh 0.501 0.084 0.149
Rh 0.501 0.416 0.149
Rh 0.713 0.750 0.211
Rh 0.787 0.250 0.711
Rh 0.999 0.584 0.649
Rh 0.999 0.916 0.649
N 0.076 0.250 0.535
N 0.424 0.750 0.035
N 0.576 0.250 0.965
N 0.924 0.750 0.465

=====

[24]
Below is CdRh3N after structural relaxation, with properties calculated at the PBE level.

formation energy from raw total energies	1.16	eV per atom
SG	I-4m2 (119)
DOS(E_F)	0.7113	states/eV/atom

Lattice parameters (Å, degrees): 10.736 10.736 10.736 155.68 155.68 34.67
Atoms (fractional coordinates):
Cd 0.000 0.000 0.000
Cd 0.750 0.250 0.500
Rh 0.349 0.349 0.000
Rh 0.370 0.123 0.247
Rh 0.651 0.651 0.000
Rh 0.877 0.123 0.247
Rh 0.877 0.123 0.753
Rh 0.877 0.630 0.753
N 0.144 0.644 0.500
N 0.356 0.856 0.500